[1]
## LuTlPt2 (PBE)

Data for crystalline LuTlPt2 at its relaxed geometry.

a = 3.477 Å, b = 3.477 Å, c = 6.688 Å
α = 90.00°, β = 90.00°, γ = 90.00°
Space group P4/mmm (No. 123)
Inequivalent atoms, fractional coordinates:
Lu1 0.000 0.000 0.000
Tl1 0.000 0.000 0.500
Pt1 0.500 0.500 0.228

Theoretical density, g/cm³: 15.81
Calculated formation energy, eV per formula unit: -2.9
DOS at the Fermi energy, states/eV/cell: 2.57
DFT total energy, eV for the cell shown: -21.84

***

[2]
## LuZrTlPt (PBE)

Data for crystalline LuZrTlPt at its relaxed geometry.

a = 7.032 Å, b = 7.032 Å, c = 7.032 Å
α = 90.00°, β = 90.00°, γ = 90.00°
Space group F-43m (No. 216)
Inequivalent atoms, fractional coordinates:
Lu1 0.000 0.000 0.000
Zr1 0.000 0.000 0.500
Tl1 0.250 0.250 0.750
Pt1 0.250 0.250 0.250

Theoretical density, g/cm³: 12.71
Calculated formation energy, eV per formula unit: -2.0
DOS at the Fermi energy, states/eV/cell: 11.53
DFT total energy, eV for the cell shown: -93.93

***

[3]
## TmLu2Pt (PBE)

Data for crystalline TmLu2Pt at its relaxed geometry.

a = 3.490 Å, b = 3.490 Å, c = 8.253 Å
α = 90.00°, β = 90.00°, γ = 90.00°
Space group P4/mmm (No. 123)
Inequivalent atoms, fractional coordinates:
Tm1 0.000 0.000 0.000
Lu1 0.500 0.500 0.303
Pt1 0.000 0.000 0.500

Theoretical density, g/cm³: 11.79
Calculated formation energy, eV per formula unit: -2.5
DOS at the Fermi energy, states/eV/cell: 5.37
DFT total energy, eV for the cell shown: -22.08
Polymorph energy (0 for the lowest one), eV per atom: 0.000